Below is an optimized crystal structure of LiTlCdHg, with properties calculated at the GGA-PBE level.

Summary:
Its space group is P4mm, No. 99. As for the size of the total moment: 0.00 μB per formula unit. The formation energy comes out at -50 kJ/mol of formula units. The crystal system is tetragonal. The calculation puts the energy above the lowest structure with this stoichiometry at 0.000 eV per atom.

```
data_LiTlCdHg
_symmetry_space_group_name_H-M 'P 1'
_symmetry_Int_Tables_number 1
_symmetry_space_group_name_Hall 'P 1'
_cell_length_a 3.2724
_cell_length_b 3.2724
_cell_length_c 8.7319
_cell_angle_alpha 90.00
_cell_angle_beta 90.00
_cell_angle_gamma 90.00
loop_
_atom_site_label
_atom_site_fract_x
_atom_site_fract_y
_atom_site_fract_z
Li1 0.0000 0.0000 0.0000
Tl1 0.0000 0.0000 0.4962
Cd1 0.5000 0.5000 0.7865
Hg1 0.5000 0.5000 0.1952
```